Entry 1:
VASP calculation (PBE) on a geometry-optimized K2Sn6Pt structure.

```
9
Lattice="-0.356 -5.869 2.318 4.144 1.754 5.082 -2.572 2.441 5.788" Properties=species:S:1:pos:R:3 pbc="T T T"
Sn 0.019 -3.327 3.420
Sn -0.859 0.784 7.248
Sn 1.196 1.654 9.768
Sn 2.472 0.444 6.898
Sn -1.256 -2.117 6.290
Sn 2.075 -2.458 5.940
K 0.468 0.476 3.987
K 0.748 -2.150 9.201
Pt 0.000 0.000 0.000
```

The calculated formation energy is -0.27 eV/atom. For the volume, the calculation gives 28.0 Å³/atom.


Entry 2:
VASP calculation (PBE) on a geometry-optimized LaAg2GeSb structure.

```
5
Lattice="-5.128 -0.782 -1.885 0.704 -5.536 0.382 -1.919 0.113 5.174" Properties=species:S:1:pos:R:3 pbc="T T T"
Ag -0.959 0.057 2.587
Ag -2.564 -0.391 -0.942
La 0.000 0.000 0.000
Sb -3.171 -3.103 1.836
Ge 0.352 -2.768 0.191
```

The value obtained for the raw formation energy is 960.9 meV per atom. For the volume, the calculation gives 34.1 Å³/atom.


Entry 3:
VASP calculation (PBE) on a geometry-optimized KMg structure.

```
4
Lattice="6.008 -0.473 0.000 0.353 6.016 0.000 -3.180 -2.772 4.304" Properties=species:S:1:pos:R:3 pbc="T T T"
Mg 0.176 3.008 2.152
Mg 3.180 2.772 0.000
K 0.000 0.000 0.000
K 3.004 -0.236 2.152
```

The calculated formation energy is 0.22 eV/atom. For the volume, the calculation gives 39.1 Å³/atom.


Entry 4:
VASP calculation (PBE) on a geometry-optimized BeRu2Au structure.

```
4
Lattice="2.776 0.000 0.000 0.000 3.644 0.000 0.000 0.000 5.547" Properties=species:S:1:pos:R:3 pbc="T T T"
Be 1.388 1.822 4.231
Ru 1.388 1.822 1.141
Ru 0.000 0.000 0.037
Au 0.000 0.000 2.912
```

The calculated formation energy is 0.11 eV/atom. For the volume, the calculation gives 14.0 Å³/atom.


Entry 5:
VASP calculation (PBE) on a geometry-optimized Rb3Pa3TaN8 structure.

```
15
Lattice="6.980 0.000 0.000 -3.490 6.048 -0.018 0.000 -4.011 6.811" Properties=species:S:1:pos:R:3 pbc="T T T"
Pa 3.490 -2.005 3.406
Pa 1.745 1.019 3.397
Pa -1.745 1.019 3.397
Rb 1.745 3.024 -0.009
Rb 0.000 0.000 0.000
Rb -1.745 3.024 -0.009
N 5.332 -1.059 2.389
N 3.490 0.015 4.443
N 0.000 -0.099 4.413
N 1.842 3.096 4.405
N 3.490 2.136 2.381
N 1.649 -1.059 2.389
N -1.842 3.096 4.405
N 0.000 2.022 2.351
Ta 0.000 -2.006 3.406
```

The value obtained for the raw formation energy is -1023.7 meV per atom. For the volume, the calculation gives 19.1 Å³/atom.


Entry 6:
VASP calculation (PBE) on a geometry-optimized NaTl2Ag2Br6 structure.

```
11
Lattice="-4.103 -3.640 -5.945 3.788 -4.436 5.605 -6.274 3.039 2.469" Properties=species:S:1:pos:R:3 pbc="T T T"
Br -0.672 -5.724 1.130
Br 1.444 -3.846 4.197
Br -1.776 -2.046 2.479
Br -5.917 0.687 0.998
Br -4.813 -2.991 -0.350
Br -8.033 -1.191 -2.068
Ag -5.388 -4.933 1.236
Ag -1.201 -0.104 0.893
Tl -4.400 -0.727 3.482
Tl -2.189 -4.310 -1.353
Na -5.189 -0.301 -1.738
```

The value obtained for the raw formation energy is -657.8 meV per atom. For the volume, the calculation gives 34.0 Å³/atom.


Entry 7:
VASP calculation (PBE) on a geometry-optimized Ti3Nb2Ga2 structure.

```
7
Lattice="4.322 0.000 -1.262 -0.940 6.361 -3.219 -0.503 -3.415 6.309" Properties=species:S:1:pos:R:3 pbc="T T T"
Ti -0.470 3.180 -1.610
Ti 1.557 5.317 -2.699
Ti 1.322 -2.371 4.527
Ga 2.172 3.413 -0.593
Ga 0.707 -0.468 2.420
Nb 2.759 1.592 1.417
Nb 0.120 1.353 0.410
```

The calculated formation energy is -0.30 eV/atom. For the volume, the calculation gives 16.8 Å³/atom.


Entry 8:
VASP calculation (PBE) on a geometry-optimized CrCo2Ru structure.

```
8
Lattice="3.474 0.000 0.000 0.000 3.474 0.000 1.737 1.737 8.552" Properties=species:S:1:pos:R:3 pbc="T T T"
Co 2.575 0.868 2.138
Co 2.605 2.635 6.414
Co 4.342 4.312 6.414
Co 0.898 2.605 2.138
Cr 1.737 3.474 4.276
Cr 1.737 1.737 0.000
Ru 3.474 1.737 4.276
Ru 0.000 0.000 0.000
```

The calculated formation energy is 0.56 eV/atom. For the volume, the calculation gives 12.9 Å³/atom.


Entry 9:
VASP calculation (PBE) on a geometry-optimized Re2WBr structure.

```
8
Lattice="-1.580 4.790 2.665 -3.531 1.232 -4.308 -6.679 0.215 1.759" Properties=species:S:1:pos:R:3 pbc="T T T"
Re -4.080 1.440 -1.910
Re -3.093 3.184 1.557
Re -9.469 5.426 -0.104
Re -6.939 2.424 0.687
W 0.000 0.000 0.000
W -5.407 4.008 1.801
Br -2.555 3.011 -0.822
Br -6.383 2.229 -1.686
```

The value obtained for the raw formation energy is 1695.0 meV per atom. For the volume, the calculation gives 22.8 Å³/atom.


Entry 10:
VASP calculation (PBE) on a geometry-optimized Cd3HgBi structure.

```
10
Lattice="-4.767 4.111 2.010 -1.121 -2.284 6.098 3.501 4.296 3.599" Properties=species:S:1:pos:R:3 pbc="T T T"
Cd 1.179 4.006 7.551
Cd -4.081 2.654 4.619
Cd -2.734 1.555 8.035
Cd -2.820 5.661 5.870
Cd 0.630 5.123 4.288
Cd 0.270 0.382 6.694
Bi -2.254 5.782 11.055
Bi -1.061 2.720 5.201
Hg -0.465 1.192 2.278
Hg -1.658 4.253 8.132
```

The calculated formation energy is 0.08 eV/atom. For the volume, the calculation gives 27.5 Å³/atom.


Entry 11:
VASP calculation (PBE) on a geometry-optimized LaPm2Cd6 structure.

```
9
Lattice="3.471 0.000 0.000 0.000 7.643 -4.413 0.000 0.000 8.825" Properties=species:S:1:pos:R:3 pbc="T T T"
Cd 1.736 0.000 2.962
Cd 1.736 5.078 5.893
Cd 1.736 2.565 1.481
Cd 1.736 5.078 2.932
Cd 1.736 0.000 5.864
Cd 1.736 2.565 -1.481
Pm 0.000 2.548 4.413
Pm 3.471 5.095 0.000
La 0.000 0.000 8.825
```

The calculated formation energy is -0.35 eV/atom. For the volume, the calculation gives 26.0 Å³/atom.


Entry 12:
VASP calculation (PBE) on a geometry-optimized Pu2AgO11 structure.

```
28
Lattice="-4.431 5.197 5.514 4.431 -5.197 5.514 4.431 5.197 -5.514" Properties=species:S:1:pos:R:3 pbc="T T T"
O 3.239 1.372 1.291
O 1.193 6.569 -1.291
O 4.707 3.690 0.000
O 0.276 1.507 0.000
O 2.528 1.606 4.229
O 6.334 1.606 -1.285
O 1.193 6.569 1.291
O 1.193 3.824 6.805
O 3.239 -1.372 6.805
O -0.276 1.507 5.514
O 0.000 0.000 5.514
O 6.334 1.606 1.285
O 0.000 0.000 0.000
O 4.155 3.690 5.514
O 3.239 -1.372 4.223
O -1.903 3.591 6.799
O 1.193 3.824 4.223
O 2.528 1.606 6.799
O 3.239 1.372 -1.291
O -1.903 3.591 4.229
O 1.903 3.591 1.285
O 1.903 3.591 -1.285
Pu 2.558 -2.484 5.514
Pu 2.558 2.484 0.000
Pu 1.873 2.712 5.514
Pu 1.873 7.681 0.000
Ag 0.000 5.197 2.757
Ag 4.431 0.000 2.757
```

The value obtained for the raw formation energy is -1089.7 meV per atom. For the volume, the calculation gives 18.1 Å³/atom.


Entry 13:
VASP calculation (PBE) on a geometry-optimized Tb7Co2Bi2 structure.

```
11
Lattice="-2.057 2.032 2.256 -6.738 -6.544 2.732 1.248 -4.792 8.436" Properties=species:S:1:pos:R:3 pbc="T T T"
Bi -2.660 -4.408 7.508
Bi -4.867 -6.134 4.069
Co -2.576 -2.323 2.725
Co -6.434 -7.303 9.655
Tb -5.020 -6.646 7.372
Tb -1.931 -0.242 4.419
Tb -4.112 -8.733 10.080
Tb -0.212 -3.133 5.610
Tb -0.080 -3.842 9.351
Tb -4.083 -3.000 4.941
Tb -3.346 -5.296 10.663
```

The calculated formation energy is -0.37 eV/atom. For the volume, the calculation gives 27.3 Å³/atom.


Entry 14:
VASP calculation (PBE) on a geometry-optimized TcAs2 structure.

```
3
Lattice="-4.959 -3.570 1.841 -4.389 -3.961 -2.402 5.995 2.102 0.611" Properties=species:S:1:pos:R:3 pbc="T T T"
As -5.854 -4.716 -0.351
As -3.495 -2.815 -0.210
Tc 0.000 0.000 0.000
```

The calculated formation energy is -0.10 eV/atom. For the volume, the calculation gives 18.5 Å³/atom.


Entry 15:
VASP calculation (PBE) on a geometry-optimized Pu10GePt6 structure.

```
17
Lattice="-3.066 4.988 -2.119 -7.457 -3.537 2.463 4.395 5.016 5.450" Properties=species:S:1:pos:R:3 pbc="T T T"
Pt -6.877 1.523 -0.054
Pt 0.434 6.800 1.788
Pt -2.678 2.196 4.337
Pt -3.450 4.271 1.458
Pt 0.895 3.205 1.542
Pt -3.645 -0.071 0.398
Ge -1.533 2.494 -1.059
Pu -1.089 4.660 3.395
Pu -4.406 2.853 -0.947
Pu -5.039 1.808 2.399
Pu -4.571 4.899 4.108
Pu -1.142 5.209 -0.125
Pu -3.506 -0.686 3.459
Pu 0.444 2.165 4.454
Pu 2.471 4.796 3.456
Pu -1.557 1.569 1.686
Pu -6.117 -1.402 1.292
```

The calculated formation energy is -0.50 eV/atom. For the volume, the calculation gives 23.5 Å³/atom.


Entry 16:
VASP calculation (PBE) on a geometry-optimized VNiCl2 structure.

```
8
Lattice="-4.338 2.757 0.773 -2.864 -4.184 -1.144 -3.584 -2.221 5.285" Properties=species:S:1:pos:R:3 pbc="T T T"
V -3.601 -0.713 -0.185
V -5.024 -3.559 1.977
Ni -5.761 -0.088 2.936
Ni 0.000 0.000 0.000
Cl -4.062 0.707 1.679
Cl -3.131 -2.887 0.685
Cl -9.053 -3.007 3.613
Cl -5.324 -2.107 3.850
```

The value obtained for the raw formation energy is -55.1 meV per atom. For the volume, the calculation gives 19.2 Å³/atom.


Entry 17:
VASP calculation (PBE) on a geometry-optimized TbHo2TmTl2 structure.

```
12
Lattice="-1.612 4.476 1.733 -1.453 -2.856 6.026 9.146 2.061 3.182" Properties=species:S:1:pos:R:3 pbc="T T T"
Tb 4.303 -0.194 4.504
Tb 2.779 -1.802 7.240
Tm 5.249 3.157 4.125
Tm 1.047 0.946 5.928
Ho 7.130 2.628 7.241
Ho 1.210 -0.583 2.631
Ho 6.226 -0.717 7.642
Ho -0.477 2.178 1.329
Tl 3.925 1.487 7.207
Tl 2.247 2.373 3.357
Tl 7.484 0.932 4.554
Tl 0.068 -2.004 5.239
```

The calculated formation energy is -0.27 eV/atom. For the volume, the calculation gives 28.5 Å³/atom.


Entry 18:
VASP calculation (PBE) on a geometry-optimized SiHgTe2 structure.

```
4
Lattice="-6.757 5.956 -2.352 -8.719 1.344 -2.974 -8.511 3.399 1.635" Properties=species:S:1:pos:R:3 pbc="T T T"
Te -2.091 0.933 -0.322
Te -21.895 9.767 -3.369
Hg -11.993 5.350 -1.845
Si 0.000 0.000 0.000
```

The value obtained for the raw formation energy is 453.3 meV per atom. For the volume, the calculation gives 48.8 Å³/atom.


Entry 19:
VASP calculation (PBE) on a geometry-optimized CaPb2Se structure.

```
4
Lattice="4.290 0.000 0.000 0.000 4.110 0.074 0.000 3.944 7.202" Properties=species:S:1:pos:R:3 pbc="T T T"
Ca 2.145 6.043 4.843
Pb 2.145 2.041 1.378
Pb 0.000 4.116 0.256
Se 0.000 3.993 4.510
```

The value obtained for the raw formation energy is -712.7 meV per atom. For the volume, the calculation gives 31.4 Å³/atom.


Entry 20:
VASP calculation (PBE) on a geometry-optimized Th3Ge2Au4 structure.

```
9
Lattice="-3.944 1.812 1.654 1.698 -4.921 2.917 4.442 7.060 2.858" Properties=species:S:1:pos:R:3 pbc="T T T"
Au 1.705 2.262 1.587
Au 4.036 4.365 4.842
Au -1.840 -0.415 2.588
Au 0.491 1.688 5.843
Th 0.909 4.298 3.982
Th 0.000 0.000 0.000
Th 1.286 -0.348 3.448
Ge 2.985 1.951 4.978
Ge -0.789 1.999 2.451
```

The calculated formation energy is -0.70 eV/atom. For the volume, the calculation gives 23.0 Å³/atom.